An optimized crystal structure of Li8CdSb2, computed with PBE-GGA.

```
11
Lattice="7.2062 -2.2903 0.0000 7.2062 2.2903 0.0000 -3.9815 0.0000 6.4628" Properties=species:S:1:pos:R:3 pbc="T T T"
Li -1.2091 0.0000 2.0015
Li 1.6092 0.0000 0.9461
Li 2.7277 0.0000 3.5173
Li 4.3860 0.0000 0.8938
Li 6.0449 0.0000 5.5689
Li 7.7031 0.0000 2.9455
Li 8.8216 0.0000 5.5167
Li 11.6399 0.0000 4.4613
Cd 7.2062 0.0000 0.0000
Sb 0.0659 0.0000 4.5233
Sb 10.3649 0.0000 1.9395
```

The formation energy from raw total energies comes out at -0.448 eV per atom.



An optimized crystal structure of LiCdSb3, computed with PBE-GGA.

```
5
Lattice="5.0830 0.0000 0.0000 0.0000 5.0830 0.0000 0.0000 0.0000 5.0830" Properties=species:S:1:pos:R:3 pbc="T T T"
Li 0.0000 0.0000 0.0000
Cd 2.5415 2.5415 2.5415
Sb 0.0000 0.0000 2.5415
Sb 0.0000 2.5415 0.0000
Sb 2.5415 0.0000 0.0000
```

The value obtained for the polymorph energy (0 for the lowest one) is 0.000 eV/atom. The formation energy from raw total energies comes out at 0.299 eV per atom.



An optimized crystal structure of Li3Cd5Sb2, computed with PBE-GGA.

```
20
Lattice="-6.2785 6.6613 3.0275 6.2785 -6.6613 3.0275 6.2785 6.6613 -3.0275" Properties=species:S:1:pos:R:3 pbc="T T T"
Li 1.5081 2.5099 0.0000
Li 0.0000 0.0000 1.5138
Li 7.7865 4.1514 0.0000
Li -1.5081 2.5099 3.0275
Li 0.0000 0.0000 4.5413
Li 4.7704 4.1514 3.0275
Cd 4.8150 2.0166 0.0000
Cd 3.2188 0.0000 1.5138
Cd 6.2785 0.0000 1.5138
Cd 9.3382 0.0000 1.5138
Cd 4.8150 -2.0166 3.0275
Cd 1.4635 8.6780 0.0000
Cd -3.0597 6.6613 1.5138
Cd 0.0000 6.6613 1.5138
Cd 3.0597 6.6613 1.5138
Cd 1.4635 4.6447 3.0275
Sb 4.7918 -4.7924 3.0275
Sb 4.7918 4.7924 0.0000
Sb 1.4867 1.8689 3.0275
Sb 1.4867 11.4538 0.0000
```

The formation energy from raw total energies comes out at -0.156 eV per atom.



An optimized crystal structure of Li4Cd2Sb, computed with PBE-GGA.

```
14
Lattice="5.1829 0.0000 0.0000 0.0000 5.1829 0.0000 0.0000 0.0000 14.1967" Properties=species:S:1:pos:R:3 pbc="T T T"
Li 0.0000 0.0000 2.6798
Li 0.0000 0.0000 11.5169
Li 0.0000 2.5915 0.0000
Li 0.0000 2.5915 7.0983
Li 2.5915 0.0000 0.0000
Li 2.5915 0.0000 7.0983
Li 2.5915 2.5915 4.4185
Li 2.5915 2.5915 9.7781
Cd 0.0000 0.0000 5.5025
Cd 0.0000 0.0000 8.6942
Cd 2.5915 2.5915 1.5958
Cd 2.5915 2.5915 12.6009
Sb 0.0000 0.0000 0.0000
Sb 2.5915 2.5915 7.0983
```

The formation energy from raw total energies comes out at -0.116 eV per atom.



An optimized crystal structure of LiCd2Sb2, computed with PBE-GGA.

```
10
Lattice="8.3576 0.0000 0.0000 0.0000 8.3576 0.0000 0.0000 0.0000 3.7371" Properties=species:S:1:pos:R:3 pbc="T T T"
Li 0.0000 0.0000 0.0000
Li 4.1788 4.1788 0.0000
Cd 1.0817 3.0971 1.8686
Cd 3.0971 7.2759 1.8686
Cd 5.2605 1.0817 1.8686
Cd 7.2759 5.2605 1.8686
Sb 1.4469 5.6257 0.0000
Sb 2.7319 1.4469 0.0000
Sb 5.6257 6.9107 0.0000
Sb 6.9107 2.7319 0.0000
```

The value obtained for the polymorph energy (0 for the lowest one) is 0.102 eV/atom. The formation energy from raw total energies comes out at -0.031 eV per atom.



An optimized crystal structure of Sr2Li3CdSb4, computed with PBE-GGA.

```
10
Lattice="4.7082 0.0000 0.0000 0.0000 4.7082 0.0000 0.0000 0.0000 11.7360" Properties=species:S:1:pos:R:3 pbc="T T T"
Sr 0.0000 2.3541 2.7855
Sr 2.3541 0.0000 8.9505
Li 0.0000 2.3541 10.2514
Li 2.3541 0.0000 1.4846
Li 2.3541 2.3541 5.8680
Cd 0.0000 0.0000 5.8680
Sb 0.0000 0.0000 0.0000
Sb 0.0000 2.3541 7.6002
Sb 2.3541 0.0000 4.1358
Sb 2.3541 2.3541 0.0000
```

The formation energy from raw total energies comes out at -0.713 eV per atom.



An optimized crystal structure of LiCdSbTe2, computed with PBE-GGA.

```
5
Lattice="5.3084 0.0000 0.0000 0.0000 5.3084 0.0000 0.0000 0.0000 4.8538" Properties=species:S:1:pos:R:3 pbc="T T T"
Li 0.0000 0.0000 0.0000
Cd 2.6542 2.6542 2.4269
Sb 0.0000 0.0000 2.4269
Te 0.0000 2.6542 0.0000
Te 2.6542 0.0000 0.0000
```

The value obtained for the polymorph energy (0 for the lowest one) is 0.000 eV/atom. The formation energy from raw total energies comes out at 0.222 eV per atom.



An optimized crystal structure of LiCdSbTe2, computed with PBE-GGA.

```
5
Lattice="5.7864 0.0000 0.0000 0.0000 5.7864 0.0000 0.0000 0.0000 5.4261" Properties=species:S:1:pos:R:3 pbc="T T T"
Li 0.0000 0.0000 0.0000
Cd 2.8932 2.8932 2.7131
Sb 2.8932 2.8932 0.0000
Te 0.0000 2.8932 2.7131
Te 2.8932 0.0000 2.7131
```

The value obtained for the polymorph energy (0 for the lowest one) is 0.093 eV/atom. The formation energy from raw total energies comes out at 0.315 eV per atom.



An optimized crystal structure of LiTiCdSb2, computed with PBE-GGA.

```
5
Lattice="5.2417 0.0000 0.0000 0.0000 5.2417 0.0000 0.0000 0.0000 5.4275" Properties=species:S:1:pos:R:3 pbc="T T T"
Li 0.0000 0.0000 0.0000
Ti 0.0000 0.0000 2.7138
Cd 2.6208 2.6208 0.0000
Sb 0.0000 2.6208 2.7138
Sb 2.6208 0.0000 2.7138
```

The formation energy from raw total energies comes out at 0.259 eV per atom.



An optimized crystal structure of LiTl2CdSb2, computed with PBE-GGA.

```
12
Lattice="-3.2360 8.0032 3.2946 3.2360 -8.0032 3.2946 3.2360 8.0032 -3.2946" Properties=species:S:1:pos:R:3 pbc="T T T"
Li 0.0000 0.0000 1.6473
Li 0.0000 0.0000 4.9419
Tl 4.8287 2.8186 0.0000
Tl 1.5927 5.1846 0.0000
Tl 1.6432 2.8186 3.2946
Tl -1.5927 5.1846 3.2946
Cd 3.2360 0.0000 1.6473
Cd 0.0000 8.0032 1.6473
Sb 1.5702 1.8376 0.0000
Sb 1.5702 -1.8376 3.2946
Sb 1.6658 9.8409 0.0000
Sb 1.6658 6.1656 3.2946
```

The formation energy from raw total energies comes out at -0.149 eV per atom.



An optimized crystal structure of LiZnCdSb, computed with PBE-GGA.

```
16
Lattice="6.9254 0.0000 0.0000 0.0000 6.9254 0.0000 0.0000 0.0000 6.9254" Properties=species:S:1:pos:R:3 pbc="T T T"
Li 0.0000 0.0000 0.0000
Li 0.0000 3.4627 3.4627
Li 3.4627 0.0000 3.4627
Li 3.4627 3.4627 0.0000
Zn 0.0000 0.0000 3.4627
Zn 0.0000 3.4627 0.0000
Zn 3.4627 0.0000 0.0000
Zn 3.4627 3.4627 3.4627
Cd 1.7314 1.7314 1.7314
Cd 1.7314 5.1941 5.1941
Cd 5.1941 1.7314 5.1941
Cd 5.1941 5.1941 1.7314
Sb 1.7314 1.7314 5.1941
Sb 1.7314 5.1941 1.7314
Sb 5.1941 1.7314 1.7314
Sb 5.1941 5.1941 5.1941
```

The formation energy from raw total energies comes out at -0.103 eV per atom.



An optimized crystal structure of LiScCd2, computed with PBE-GGA.

```
16
Lattice="4.2726 0.0000 0.0000 0.0000 4.2726 0.0000 0.0000 0.0000 20.0229" Properties=species:S:1:pos:R:3 pbc="T T T"
Li 0.0000 0.0000 0.0000
Li 0.0000 2.1363 5.0057
Li 2.1363 0.0000 15.0172
Li 2.1363 2.1363 10.0114
Sc 0.0000 0.0000 10.0114
Sc 0.0000 2.1363 15.0172
Sc 2.1363 0.0000 5.0057
Sc 2.1363 2.1363 0.0000
Cd 0.9721 1.0681 2.5029
Cd 1.0681 3.1084 7.5086
Cd 1.0681 3.3005 17.5200
Cd 1.1642 1.0681 12.5143
Cd 3.1084 3.2044 12.5143
Cd 3.2044 0.9721 17.5200
Cd 3.2044 1.1642 7.5086
Cd 3.3005 3.2044 2.5029
```

The formation energy from the elements comes out at 0.5 eV per formula unit.



> What is the formula in the tenth record?

LiTl2CdSb2



> Number 3 is which compound?

Li3Cd5Sb2